The following is a DFT calculation (PBE-GGA) of a relaxed structure of PrY6In2.

Cell: 6.666 6.666 12.073 Å, 106.80 106.80 32.96°
Fractional coordinates of all 9 atoms:
Pr  0.000  0.000  0.000
Y  0.014  0.014  0.344
Y  0.310  0.310  0.417
Y  0.313  0.313  0.126
Y  0.687  0.687  0.874
Y  0.690  0.690  0.583
Y  0.986  0.986  0.656
In  0.354  0.354  0.784
In  0.646  0.646  0.216

Values from the calculation:
- Calculated volume: 278 Å³/cell
- ρ: 5.394 g cm⁻³
- Formation energy from the elements: -0.2144 eV/atom
- Total magnetic moment: 0.00 μB/cell



The following is a DFT calculation (PBE-GGA) of a relaxed structure of PrY2In3.

Cell: 3.787 3.787 11.578 Å, 90.00 90.00 90.00°
Fractional coordinates of all 6 atoms:
Pr  0.000  0.000  0.000
Y  0.000  0.000  0.339
Y  0.000  0.000  0.661
In  0.500  0.500  0.179
In  0.500  0.500  0.500
In  0.500  0.500  0.821

Values from the calculation:
- E above lowest polymorph: 0.000 eV per formula unit
- Calculated volume: 166 Å³/cell
- ρ: 6.633 g cm⁻³
- Formation energy from the elements: -0.5006 eV/atom
- Total magnetic moment: 0.00 μB/cell



The following is a DFT calculation (PBE-GGA) of a relaxed structure of PrY2In.

Cell: 4.950 4.950 4.871 Å, 90.00 90.00 90.00°
Fractional coordinates of all 4 atoms:
Pr  0.000  0.000  0.000
Y  0.000  0.500  0.500
Y  0.500  0.000  0.500
In  0.500  0.500  0.000

Values from the calculation:
- E above lowest polymorph: 0.000 eV per formula unit
- Calculated volume: 119 Å³/cell
- ρ: 6.031 g cm⁻³
- Formation energy from the elements: -0.2714 eV/atom
- Total magnetic moment: 0.55 μB/cell



The following is a DFT calculation (PBE-GGA) of a relaxed structure of PrYIn4.

Cell: 10.441 18.183 3.539 Å, 90.00 90.00 90.00°
Fractional coordinates of all 24 atoms:
Pr  0.081  0.135  0.000
Pr  0.419  0.635  0.000
Pr  0.581  0.365  0.000
Pr  0.919  0.865  0.000
Y  0.119  0.426  0.000
Y  0.381  0.926  0.000
Y  0.619  0.074  0.000
Y  0.881  0.574  0.000
In  0.014  0.289  0.500
In  0.130  0.971  0.500
In  0.153  0.579  0.500
In  0.204  0.808  0.500
In  0.296  0.308  0.500
In  0.347  0.079  0.500
In  0.370  0.471  0.500
In  0.486  0.789  0.500
In  0.514  0.211  0.500
In  0.630  0.529  0.500
In  0.653  0.921  0.500
In  0.704  0.692  0.500
In  0.796  0.192  0.500
In  0.847  0.421  0.500
In  0.870  0.029  0.500
In  0.986  0.711  0.500

Values from the calculation:
- E above lowest polymorph: 0.344 eV per formula unit
- Calculated volume: 672 Å³/cell
- ρ: 6.812 g cm⁻³
- Formation energy from the elements: -0.3371 eV/atom
- Total magnetic moment: 0.00 μB/cell



The following is a DFT calculation (PBE-GGA) of a relaxed structure of Pr2YIn.

Cell: 12.615 12.615 12.615 Å, 16.32 16.32 16.32°
Fractional coordinates of all 4 atoms:
Pr  0.088  0.088  0.088
Pr  0.912  0.912  0.912
Y  0.500  0.500  0.500
In  0.000  0.000  0.000

Values from the calculation:
- E above lowest polymorph: 1.475 eV per formula unit
- Calculated volume: 138 Å³/cell
- ρ: 5.835 g cm⁻³
- Formation energy from the elements: 0.0936 eV/atom
- Total magnetic moment: 0.00 μB/cell



The following is a DFT calculation (PBE-GGA) of a relaxed structure of PrYIn2.

Cell: 5.028 5.028 4.442 Å, 90.00 90.00 90.00°
Fractional coordinates of all 4 atoms:
Pr  0.000  0.000  0.000
Y  0.500  0.500  0.000
In  0.000  0.500  0.500
In  0.500  0.000  0.500

Values from the calculation:
- Calculated volume: 112 Å³/cell
- ρ: 6.794 g cm⁻³
- Formation energy from the elements: -0.4830 eV/atom
- Total magnetic moment: 0.00 μB/cell



The following is a DFT calculation (PBE-GGA) of a relaxed structure of Pr12Y6In.

Cell: 8.721 8.721 8.721 Å, 88.70 88.70 88.70°
Fractional coordinates of all 19 atoms:
Pr  0.036  0.286  0.931
Pr  0.069  0.964  0.714
Pr  0.137  0.320  0.481
Pr  0.286  0.931  0.036
Pr  0.320  0.481  0.137
Pr  0.481  0.137  0.320
Pr  0.519  0.863  0.680
Pr  0.680  0.519  0.863
Pr  0.714  0.069  0.964
Pr  0.863  0.680  0.519
Pr  0.931  0.036  0.286
Pr  0.964  0.714  0.069
Y  0.217  0.601  0.756
Y  0.244  0.783  0.399
Y  0.399  0.244  0.783
Y  0.601  0.756  0.217
Y  0.756  0.217  0.601
Y  0.783  0.399  0.244
In  0.500  0.500  0.500

Values from the calculation:
- Calculated volume: 663 Å³/cell
- ρ: 5.860 g cm⁻³
- Formation energy from the elements: 0.0594 eV/atom
- Total magnetic moment: 0.00 μB/cell



The following is a DFT calculation (PBE-GGA) of a relaxed structure of Pr3Y4In.

Cell: 13.364 13.364 5.865 Å, 98.19 98.19 14.95°
Fractional coordinates of all 8 atoms:
Pr  0.000  0.000  0.000
Pr  0.151  0.151  0.198
Pr  0.849  0.849  0.802
Y  0.099  0.099  0.662
Y  0.283  0.283  0.268
Y  0.717  0.717  0.732
Y  0.901  0.901  0.338
In  0.500  0.500  0.500

Values from the calculation:
- E above lowest polymorph: 1.341 eV per formula unit
- Calculated volume: 267 Å³/cell
- ρ: 5.547 g cm⁻³
- Formation energy from the elements: 0.0519 eV/atom
- Total magnetic moment: 0.34 μB/cell



The following is a DFT calculation (PBE-GGA) of a relaxed structure of PrY2In3.

Cell: 8.710 8.710 6.548 Å, 102.19 102.19 43.95°
Fractional coordinates of all 12 atoms:
Pr  0.125  0.875  0.750
Pr  0.875  0.125  0.250
Y  0.213  0.449  0.415
Y  0.449  0.213  0.915
Y  0.551  0.787  0.085
Y  0.787  0.551  0.585
In  0.046  0.293  0.050
In  0.293  0.046  0.550
In  0.376  0.624  0.250
In  0.624  0.376  0.750
In  0.707  0.954  0.450
In  0.954  0.707  0.950

Values from the calculation:
- E above lowest polymorph: 0.359 eV per formula unit
- Calculated volume: 336 Å³/cell
- ρ: 6.560 g cm⁻³
- Formation energy from the elements: -0.4408 eV/atom
- Total magnetic moment: 0.00 μB/cell



The following is a DFT calculation (PBE-GGA) of a relaxed structure of Pr6Y12In.

Cell: 8.589 8.589 8.589 Å, 89.19 89.19 89.19°
Fractional coordinates of all 19 atoms:
Pr  0.198  0.592  0.761
Pr  0.239  0.802  0.408
Pr  0.408  0.239  0.802
Pr  0.592  0.761  0.198
Pr  0.761  0.198  0.592
Pr  0.802  0.408  0.239
Y  0.037  0.279  0.937
Y  0.063  0.963  0.721
Y  0.141  0.317  0.485
Y  0.279  0.937  0.037
Y  0.317  0.485  0.141
Y  0.485  0.141  0.317
Y  0.515  0.859  0.683
Y  0.683  0.515  0.859
Y  0.721  0.063  0.963
Y  0.859  0.683  0.515
Y  0.937  0.037  0.279
Y  0.963  0.721  0.063
In  0.500  0.500  0.500

Values from the calculation:
- Calculated volume: 633 Å³/cell
- ρ: 5.314 g cm⁻³
- Formation energy from the elements: 0.0553 eV/atom
- Total magnetic moment: 0.00 μB/cell



The following is a DFT calculation (PBE-GGA) of a relaxed structure of Pr6YIn2.

Cell: 10.029 10.029 3.509 Å, 100.00 100.00 56.98°
Fractional coordinates of all 9 atoms:
Pr  0.143  0.516  0.831
Pr  0.163  0.837  0.000
Pr  0.484  0.857  0.169
Pr  0.516  0.143  0.831
Pr  0.837  0.163  0.000
Pr  0.857  0.484  0.169
Y  0.500  0.500  0.500
In  0.154  0.154  0.652
In  0.846  0.846  0.348

Values from the calculation:
- E above lowest polymorph: 1.038 eV per formula unit
- Calculated volume: 290 Å³/cell
- ρ: 6.662 g cm⁻³
- Formation energy from the elements: -0.0889 eV/atom
- Total magnetic moment: 0.00 μB/cell



The following is a DFT calculation (PBE-GGA) of a relaxed structure of Pr4YIn3.

Cell: 10.314 10.314 10.314 Å, 151.99 151.98 40.04°
Fractional coordinates of all 8 atoms:
Pr  0.131  0.131  0.000
Pr  0.368  0.368  0.000
Pr  0.632  0.632  0.000
Pr  0.869  0.869  0.000
Y  0.000  0.500  0.500
In  0.251  0.751  0.500
In  0.500  0.000  0.500
In  0.749  0.249  0.500

Values from the calculation:
- E above lowest polymorph: 0.000 eV per formula unit
- Calculated volume: 242 Å³/cell
- ρ: 6.853 g cm⁻³
- Formation energy from the elements: -0.3511 eV/atom
- Total magnetic moment: 0.00 μB/cell



- Which value of formation energy from the elements does entry 3 give?
  -0.2714 eV/atom



- Look up the formation energy from the elements of the fourth one.
  -0.3371 eV/atom



- What is the formation energy from the elements in the eighth record?
  0.0519 eV/atom